TlNiN2F, relaxed, DFT GGA+U; E = -4.05 eV per atom; DOS(E_F) = 2.5 states/eV per cell; calculated density = 8.358 Mg/m³; energy relative to the lowest polymorph listed for this composition = 0.00 kJ per mole of atoms
1.0
3.903 0.000 0.000
0.000 3.903 0.000
0.000 0.000 4.045
Tl Ni N F
1 1 2 1
Direct
0.000 0.000 0.000
0.500 0.500 0.500
0.000 0.500 0.500
0.500 0.000 0.500
0.500 0.500 0.000